This record from Alexandria via LeMat-Bulk describes In3CoCl after structural relaxation. The functional is PBEsol.

Summary:
Distance to the lowest polymorph of the same formula ... 0 meV per atom
Raw formation energy ... -119.6 kJ/mol of formula units
Density of states at the Fermi level ... 0.62 states/eV per atom

a b c (Å): 4.891 4.891 4.891
angles (deg): 90.00 90.00 90.00
Space group Pm-3m (No. 221)
Asymmetric unit:
In (0.000, 0.000, 0.500)
Co (0.000, 0.000, 0.000)
Cl (0.500, 0.500, 0.500)


This record from Alexandria via LeMat-Bulk describes KSb3Pt after structural relaxation. The functional is PBEsol.

Summary:
Raw formation energy ... 47.8 kJ/mol of formula units
Density of states at the Fermi level ... 0.77 states/eV per atom

a b c (Å): 5.344 5.344 5.344
angles (deg): 90.00 90.00 90.00
Space group Pm-3m (No. 221)
Asymmetric unit:
K (0.000, 0.000, 0.000)
Sb (0.000, 0.500, 0.500)
Pt (0.500, 0.500, 0.500)


This record from Alexandria via LeMat-Bulk describes CdReH2Cl after structural relaxation. The functional is PBEsol.

Summary:
Final energy ... -3.085 eV per atom
Density of states at the Fermi level ... 0.53 states/eV per atom

a b c (Å): 3.701 3.701 6.521
angles (deg): 90.00 90.00 90.00
Space group P4/mmm (No. 123)
Asymmetric unit:
Cd (0.000, 0.000, 0.000)
Re (0.500, 0.500, 0.000)
H (0.000, 0.500, 0.500)
Cl (0.000, 0.000, 0.500)


This record from Alexandria via LeMat-Bulk describes ZrCrAgS4 after structural relaxation. The functional is PBEsol.

Summary:
Distance to the lowest polymorph of the same formula ... 13 meV per atom
Raw formation energy ... -622.6 kJ/mol of formula units
Density of states at the Fermi level ... 0.03 states/eV per atom

a b c (Å): 13.767 3.555 5.998
angles (deg): 90.00 115.75 90.00
Space group Cm (No. 8)
Asymmetric unit:
Zr (0.000, 0.000, 0.000)
Cr (0.006, 0.500, 0.471)
Ag (0.250, 0.000, 0.251)
S (0.114, 0.500, 0.909)
S (0.121, 0.000, 0.454)
S (0.380, 0.000, 0.034)
S (0.399, 0.500, 0.522)


This record from Alexandria via LeMat-Bulk describes PrErMn4Co13 after structural relaxation. The functional is PBEsol.

Summary:
E_form ... -0.01 eV per atom
Density of states at the Fermi level ... 1.33 states/eV per atom

a b c (Å): 9.250 8.218 6.167
angles (deg): 90.00 99.56 90.00
Space group Cm (No. 8)
Asymmetric unit:
Pr (0.000, 0.000, 0.000)
Er (0.303, 0.000, 0.695)
Mn (0.057, 0.500, 0.441)
Mn (0.243, 0.500, 0.255)
Mn (0.402, 0.241, 0.357)
Co (0.004, 0.356, 0.057)
Co (0.054, 0.255, 0.693)
Co (0.146, 0.500, 0.845)
Co (0.151, 0.211, 0.350)
Co (0.252, 0.256, 0.006)
Co (0.294, 0.354, 0.638)
Co (0.309, 0.000, 0.204)
Co (0.494, 0.500, 0.490)


This record from Alexandria via LeMat-Bulk describes Sm3CuSnS7 after structural relaxation. The functional is PBEsol.

Summary:
Raw formation energy ... -1720.5 kJ/mol of formula units
Density of states at the Fermi level ... 0.00 states/eV per atom

a b c (Å): 9.9236 9.9236 5.9318
angles (deg): 90.00 90.00 120.00
Space group P6_3 (No. 173)
Asymmetric unit:
Sm (0.1372, 0.3571, 0.0000)
Cu (0.0000, 0.0000, 0.0515)
Sn (0.3333, 0.6667, 0.4270)
S (0.0835, 0.5704, 0.2510)
S (0.1015, 0.2572, 0.5351)
S (0.3333, 0.6667, 0.8234)


This record from Alexandria via LeMat-Bulk describes La2As2I after structural relaxation. The functional is PBEsol.

Summary:
Raw formation energy ... -458.4 kJ/mol of formula units
Density of states at the Fermi level ... 0.71 states/eV per atom

a b c (Å): 4.296 4.296 15.712
angles (deg): 90.00 90.00 90.00
Space group I4/mmm (No. 139)
Asymmetric unit:
La (0.000, 0.000, 0.123)
As (0.000, 0.500, 0.250)
I (0.000, 0.000, 0.500)


This record from Alexandria via LeMat-Bulk describes LaSc2Co2 after structural relaxation. The functional is PBEsol.

Summary:
E_form ... 0.07 eV per atom
Density of states at the Fermi level ... 1.26 states/eV per atom

a b c (Å): 4.545 4.545 9.858
angles (deg): 90.00 90.00 90.00
Space group I4/mmm (No. 139)
Asymmetric unit:
La (0.000, 0.000, 0.000)
Sc (0.000, 0.000, 0.339)
Co (0.000, 0.500, 0.250)


This record from Alexandria via LeMat-Bulk describes CuTcAs2Se after structural relaxation. The functional is PBEsol.

Summary:
Raw formation energy ... 522.4 kJ/mol of formula units
Density of states at the Fermi level ... 0.78 states/eV per atom

a b c (Å): 4.524 4.524 4.676
angles (deg): 90.00 90.00 90.00
Space group P4/mmm (No. 123)
Asymmetric unit:
Cu (0.000, 0.000, 0.000)
Tc (0.500, 0.500, 0.500)
As (0.000, 0.500, 0.000)
Se (0.000, 0.000, 0.500)


This record from Alexandria via LeMat-Bulk describes TlAuO3 after structural relaxation. The functional is PBEsol.

Summary:
Raw formation energy ... 12.7 kJ/mol of formula units
Density of states at the Fermi level ... 0.30 states/eV per atom

a b c (Å): 4.045 4.045 4.045
angles (deg): 90.00 90.00 90.00
Space group Pm-3m (No. 221)
Asymmetric unit:
Tl (0.000, 0.000, 0.000)
Au (0.500, 0.500, 0.500)
O (0.000, 0.500, 0.500)


This record from Alexandria via LeMat-Bulk describes BaMg2In after structural relaxation. The functional is PBEsol.

Summary:
E_form ... -0.19 eV per atom
Density of states at the Fermi level ... 0.44 states/eV per atom

a b c (Å): 7.720 7.720 7.720
angles (deg): 90.00 90.00 90.00
Space group F-43m (No. 216)
Asymmetric unit:
Ba (0.000, 0.000, 0.000)
Mg (0.000, 0.000, 0.500)
Mg (0.250, 0.250, 0.250)
In (0.250, 0.250, 0.750)


This record from Alexandria via LeMat-Bulk describes K2TlHg after structural relaxation. The functional is PBEsol.

Summary:
E_form ... -0.10 eV per atom
Distance to the lowest polymorph of the same formula ... 16 meV per atom
Density of states at the Fermi level ... 0.60 states/eV per atom

a b c (Å): 4.005 4.096 9.334
angles (deg): 90.00 90.00 90.00
Space group Pmm2 (No. 25)
Asymmetric unit:
K (0.000, 0.000, 0.000)
K (0.500, 0.500, 0.393)
Tl (0.000, 0.000, 0.630)
Hg (0.500, 0.500, 0.775)


This record from Alexandria via LeMat-Bulk describes RbIn2P2 after structural relaxation. The functional is PBEsol.

Summary:
E_form ... -0.17 eV per atom
Density of states at the Fermi level ... 0.18 states/eV per atom

a b c (Å): 4.587 4.587 13.439
angles (deg): 90.00 90.00 90.00
Space group I4/mmm (No. 139)
Asymmetric unit:
Rb (0.000, 0.000, 0.000)
In (0.000, 0.500, 0.250)
P (0.000, 0.000, 0.354)


This record from Alexandria via LeMat-Bulk describes Li2Ca after structural relaxation. The functional is PBEsol.

Summary:
E_form ... -0.02 eV per atom
Distance to the lowest polymorph of the same formula ... 0 meV per atom
Density of states at the Fermi level ... 0.73 states/eV per atom

a b c (Å): 8.665 8.665 8.665
angles (deg): 90.00 90.00 90.00
Space group Fd-3m (No. 227, origin choice 2)
Asymmetric unit:
Li (0.000, 0.000, 0.000)
Ca (0.125, 0.125, 0.625)


This record from Alexandria via LeMat-Bulk describes Ca2La2MgTi3O12 after structural relaxation. The functional is PBEsol.

Summary:
Distance to the lowest polymorph of the same formula ... 9 meV per atom
Raw formation energy ... -6242.7 kJ/mol of formula units
Density of states at the Fermi level ... 0.00 states/eV per atom

a b c (Å): 15.483 5.430 5.502
angles (deg): 90.00 90.13 90.00
Space group P2_1/c (No. 14)
Asymmetric unit:
Ca (0.121, 0.008, 0.458)
La (0.381, 0.511, 0.035)
Mg (0.500, 0.000, 0.000)
Ti (0.000, 0.000, 0.000)
Ti (0.244, 0.003, 0.001)
O (0.021, 0.212, 0.712)
O (0.122, 0.582, 0.521)
O (0.223, 0.214, 0.713)
O (0.265, 0.716, 0.784)
O (0.365, 0.071, 0.988)
O (0.482, 0.702, 0.798)


This record from Alexandria via LeMat-Bulk describes CaPt2Br after structural relaxation. The functional is PBEsol.

Summary:
Distance to the lowest polymorph of the same formula ... 0 meV per atom
Raw formation energy ... -157.0 kJ/mol of formula units
Density of states at the Fermi level ... 1.08 states/eV per atom

a b c (Å): 3.803 3.803 5.462
angles (deg): 90.00 90.00 90.00
Space group P4/mmm (No. 123)
Asymmetric unit:
Ca (0.000, 0.000, 0.000)
Pt (0.000, 0.500, 0.500)
Br (0.500, 0.500, 0.000)


This record from Alexandria via LeMat-Bulk describes CsNaS2 after structural relaxation. The functional is PBEsol.

Summary:
Distance to the lowest polymorph of the same formula ... 0 meV per atom
Raw formation energy ... -273.2 kJ/mol of formula units
Density of states at the Fermi level ... 0.27 states/eV per atom

a b c (Å): 5.071 5.071 18.311
angles (deg): 90.00 90.00 90.00
Space group I-42d (No. 122)
Asymmetric unit:
Cs (0.000, 0.000, 0.000)
Na (0.000, 0.000, 0.500)
S (0.051, 0.250, 0.625)


This record from Alexandria via LeMat-Bulk describes NaTl3 after structural relaxation. The functional is PBEsol.

Summary:
E_form ... -0.09 eV per atom
Density of states at the Fermi level ... 0.49 states/eV per atom

a b c (Å): 6.7283 6.7283 5.4700
angles (deg): 90.00 90.00 120.00
Space group P6_3/mmc (No. 194)
Asymmetric unit:
Na (0.3333, 0.6667, 0.2500)
Tl (0.1654, 0.3307, 0.7500)


This record from Alexandria via LeMat-Bulk describes Re2AgSb after structural relaxation. The functional is PBEsol.

Summary:
Raw formation energy ... 278.6 kJ/mol of formula units
Density of states at the Fermi level ... 0.69 states/eV per atom

a b c (Å): 2.859 4.646 10.570
angles (deg): 90.00 90.00 90.00
Space group Imm2 (No. 44)
Asymmetric unit:
Re (0.000, 0.000, 0.000)
Re (0.000, 0.500, 0.303)
Ag (0.000, 0.000, 0.531)
Sb (0.000, 0.500, 0.729)


This record from Alexandria via LeMat-Bulk describes K2S after structural relaxation. The functional is PBEsol.

Summary:
Raw formation energy ... -289.8 kJ/mol of formula units
Density of states at the Fermi level ... 0.00 states/eV per atom

a b c (Å): 5.2158 5.2158 7.0361
angles (deg): 90.00 90.00 120.00
Space group P6_3/mmc (No. 194)
Asymmetric unit:
K (0.0000, 0.0000, 0.0000)
K (0.3333, 0.6667, 0.2500)
S (0.3333, 0.6667, 0.7500)


This record from Alexandria via LeMat-Bulk describes GaOsPb3 after structural relaxation. The functional is PBEsol.

Summary:
E_form ... 0.62 eV per atom
Density of states at the Fermi level ... 0.75 states/eV per atom

a b c (Å): 5.225 5.225 5.225
angles (deg): 90.00 90.00 90.00
Space group Pm-3m (No. 221)
Asymmetric unit:
Ga (0.000, 0.000, 0.000)
Os (0.500, 0.500, 0.500)
Pb (0.000, 0.500, 0.500)


This record from Alexandria via LeMat-Bulk describes LiRe2Br after structural relaxation. The functional is PBEsol.

Summary:
Distance to the lowest polymorph of the same formula ... 0 meV per atom
Raw formation energy ... 391.7 kJ/mol of formula units
Density of states at the Fermi level ... 1.09 states/eV per atom

a b c (Å): 2.8122 2.8122 27.2364
angles (deg): 90.00 90.00 120.00
Space group R-3m (No. 166, hexagonal axes)
Asymmetric unit:
Li (0.0000, 0.0000, 0.0000)
Re (0.0000, 0.0000, 0.2474)
Br (0.0000, 0.0000, 0.5000)


This record from Alexandria via LeMat-Bulk describes LaHfNb3 after structural relaxation. The functional is PBEsol.

Summary:
E_form ... 1.20 eV per atom
Distance to the lowest polymorph of the same formula ... 0 meV per atom
Density of states at the Fermi level ... 1.86 states/eV per atom

a b c (Å): 4.981 4.981 4.981
angles (deg): 90.00 90.00 90.00
Space group Pm-3m (No. 221)
Asymmetric unit:
La (0.000, 0.000, 0.000)
Hf (0.500, 0.500, 0.500)
Nb (0.000, 0.500, 0.500)


This record from Alexandria via LeMat-Bulk describes LuSiIr after structural relaxation. The functional is PBEsol.

Summary:
Raw formation energy ... -336.3 kJ/mol of formula units
Density of states at the Fermi level ... 0.35 states/eV per atom

a b c (Å): 6.627 4.132 7.327
angles (deg): 90.00 90.00 90.00
Space group Pnma (No. 62)
Asymmetric unit:
Lu (0.005, 0.250, 0.188)
Si (0.206, 0.750, 0.386)
Ir (0.159, 0.250, 0.565)